Material: Be2GaRe2
Method: DFT, GGA-PBE
State: relaxed

Properties
The density of states at the Fermi level comes out at 0.557 states/eV per atom. Its space-group type is P4/mbm, No. 127. As for the total moment: 0.0 μB per cell. The value obtained for the total energy is -7.219 eV/atom.

Unit cell a=5.9856 b=5.9856 c=3.2220 alpha=90.00 beta=90.00 gamma=90.00
Closest atoms and distances in Å follow each position.
Fractional coordinates of all 10 atoms:
Be  0.1190  0.3810  0.0000  1 Be 2.01
Be  0.3810  0.8810  0.0000  1 Be 2.01
Be  0.6190  0.1190  0.0000  1 Be 2.01
Be  0.8810  0.6190  0.0000  1 Be 2.01
Ga  0.0000  0.0000  0.0000  4 Be 2.39
Ga  0.5000  0.5000  0.0000  4 Be 2.39
Re  0.1748  0.6748  0.5000  6 Be 2.38-2.41
Re  0.3252  0.1748  0.5000  6 Be 2.38-2.41
Re  0.6748  0.8252  0.5000  6 Be 2.38-2.41
Re  0.8252  0.3252  0.5000  6 Be 2.38-2.41

Material: BaSr2LaN
Method: DFT, GGA-PBE
State: relaxed

Properties
The density of states at the Fermi level comes out at 1.795 states/eV per atom. Its space-group type is P4/mmm, No. 123. As for the total moment: 3.6 μB per cell. The value obtained for the total energy is -2.063 eV/atom.

Unit cell a=6.7088 b=6.7088 c=6.3728 alpha=90.00 beta=90.00 gamma=90.00
Closest atoms and distances in Å follow each position.
Fractional coordinates of all 5 atoms:
Ba  0.0000  0.0000  0.0000  2 La 3.19
Sr  0.0000  0.5000  0.5000  2 La 3.35
Sr  0.5000  0.0000  0.5000  2 La 3.35
La  0.0000  0.0000  0.5000  2 Ba 3.19, 4 Sr 3.35
N  0.5000  0.5000  0.0000  8 Sr 4.63, 4 Ba 4.74

Material: BaDyAs2Pd4
Method: DFT, GGA-PBE
State: relaxed

Properties
The density of states at the Fermi level comes out at 0.621 states/eV per atom. Its space-group type is P4/mmm, No. 123. As for the total moment: 0.0 μB per cell. The value obtained for the total energy is -5.279 eV/atom.

Unit cell a=4.2194 b=4.2194 c=10.2475 alpha=90.00 beta=90.00 gamma=90.00
Closest atoms and distances in Å follow each position.
Fractional coordinates of all 8 atoms:
Ba  0.0000  0.0000  0.0000  8 As 3.50, 8 Pd 3.78
Dy  0.0000  0.0000  0.5000  8 Pd 2.90
As  0.5000  0.5000  0.1792  4 Pd 2.48
As  0.5000  0.5000  0.8208  4 Pd 2.48
Pd  0.0000  0.5000  0.3059  2 As 2.48
Pd  0.0000  0.5000  0.6941  2 As 2.48
Pd  0.5000  0.0000  0.3059  2 As 2.48
Pd  0.5000  0.0000  0.6941  2 As 2.48

Material: CdHgAs2
Method: DFT, GGA-PBE
State: relaxed

Properties
As for the polymorph energy (0 for the lowest one): 200 meV/atom. The density of states at the Fermi level comes out at 0.357 states/eV per atom. Its space-group type is Pmmm, No. 47. As for the total moment: 0.0 μB per cell.

Unit cell a=2.9212 b=4.8345 c=7.1482 alpha=90.00 beta=90.00 gamma=90.00
Closest atoms and distances in Å follow each position.
Fractional coordinates of all 4 atoms:
Cd  0.0000  0.0000  0.0000  2 Cd 2.92, 8 As 3.09
Hg  0.0000  0.0000  0.5000  2 Hg 2.92
As  0.5000  0.5000  0.1757  1 As 2.51
As  0.5000  0.5000  0.8243  1 As 2.51

Material: Na2SiIr
Method: DFT, GGA-PBE
State: relaxed

Properties
The density of states at the Fermi level comes out at 0.489 states/eV per atom. Its space-group type is I-42d, No. 122. As for the total moment: 0.0 μB per cell. The value obtained for the total energy is -3.996 eV/atom.

Unit cell a=10.5103 b=10.5103 c=4.4988 alpha=90.00 beta=90.00 gamma=90.00
Closest atoms and distances in Å follow each position.
Fractional coordinates of all 16 atoms:
Na  0.0801  0.7500  0.1250  2 Ir 2.82
Na  0.2500  0.0801  0.8750  2 Ir 2.82
Na  0.2500  0.4199  0.3750  2 Ir 2.82
Na  0.4199  0.7500  0.6250  2 Ir 2.82
Na  0.5801  0.2500  0.6250  2 Ir 2.82
Na  0.7500  0.5801  0.3750  2 Ir 2.82
Na  0.7500  0.9199  0.8750  2 Ir 2.82
Na  0.9199  0.2500  0.1250  2 Ir 2.82
Si  0.0000  0.0000  0.5000  2 Ir 2.25
Si  0.0000  0.5000  0.7500  2 Ir 2.25
Si  0.5000  0.0000  0.2500  2 Ir 2.25
Si  0.5000  0.5000  0.0000  2 Ir 2.25
Ir  0.0000  0.0000  0.0000  2 Si 2.25
Ir  0.0000  0.5000  0.2500  2 Si 2.25
Ir  0.5000  0.0000  0.7500  2 Si 2.25
Ir  0.5000  0.5000  0.5000  2 Si 2.25

Material: Ca2Tb5Y4
Method: DFT, GGA-PBE
State: relaxed

Properties
The density of states at the Fermi level comes out at 1.771 states/eV per atom. Its space-group type is P-1, No. 2. As for the total moment: 0.0 μB per cell. The value obtained for the total energy is -4.699 eV/atom.

Unit cell a=6.6958 b=6.7102 c=8.7781 alpha=71.29 beta=79.16 gamma=86.34
Closest atoms and distances in Å follow each position.
Fractional coordinates of all 11 atoms:
Ca  0.1808  0.4250  0.3772  1 Ca 3.26, 4 Tb 3.29-3.61, 3 Y 3.47-3.52
Ca  0.8192  0.5750  0.6228  1 Ca 3.26, 4 Tb 3.29-3.61, 3 Y 3.47-3.52
Tb  0.0000  0.5000  0.0000  4 Tb 3.48-3.54, 4 Y 3.61-3.88, 2 Ca 3.61
Tb  0.3677  0.2797  0.7530  4 Tb 3.50-3.74, 2 Ca 3.52-3.57, 5 Y 3.60-3.85
Tb  0.4752  0.7407  0.8770  1 Ca 3.29, 4 Tb 3.30-3.56, 3 Y 3.35-3.59
Tb  0.5248  0.2593  0.1230  1 Ca 3.29, 4 Tb 3.30-3.56, 3 Y 3.35-3.59
Tb  0.6323  0.7203  0.2470  4 Tb 3.50-3.74, 2 Ca 3.52-3.57, 5 Y 3.60-3.85
Y  0.1302  0.9499  0.1535  3 Y 3.35-3.72, 6 Tb 3.38-3.73, 1 Ca 3.47
Y  0.2543  0.8841  0.5453  2 Tb 3.35-3.67, 2 Ca 3.49-3.52, 3 Y 3.57-3.72
Y  0.7457  0.1159  0.4547  2 Tb 3.35-3.67, 2 Ca 3.49-3.52, 3 Y 3.57-3.72
Y  0.8698  0.0501  0.8465  3 Y 3.35-3.72, 6 Tb 3.38-3.73, 1 Ca 3.47

- Which value of total moment does entry 3 give?
  0.0 μB per cell